A plane-wave DFT calculation with PBE-GGA was carried out for a relaxed CaAl2Mo crystal.

The structure in CIF format:
```
data_CaAl2Mo
_cell_length_a 5.313
_cell_length_b 2.835
_cell_length_c 5.587
_cell_angle_alpha 90.00
_cell_angle_beta 115.81
_cell_angle_gamma 90.00
_symmetry_space_group_name_H-M 'P 1 2/m 1'
_symmetry_Int_Tables_number 10
_symmetry_space_group_name_Hall '-P 2y'
loop_
_atom_site_label
_atom_site_fract_x
_atom_site_fract_y
_atom_site_fract_z
Ca1 0.000 0.000 0.000
Al1 0.500 0.000 0.500
Al2 0.500 0.500 0.000
Mo1 0.000 0.500 0.500
```

Results
ΔE to the lowest computed polymorph = 425 meV/atom
theoretical density = 4.164 g cm⁻³
formation energy = 1.3 eV/f.u.